{
  "formula": "NbTlAg",
  "functional": "PBE-GGA",
  "state": "optimized geometry",
  "cell": [[3.083, -0.008, 0.000], [1.457, 4.907, 0.011], [0.045, 0.457, 8.313]],
  "species": ["Nb", "Nb", "Tl", "Tl", "Ag", "Ag"],
  "fractional_positions": [[0.920, 0.229, 0.537], [0.080, 0.675, 0.420], [0.584, 0.758, 0.727], [0.657, 0.619, 0.100], [0.416, 0.136, 0.243], [0.354, 0.267, 0.870]],
  "e_tot_ev_per_atom": -4.7677,
  "spacegroup": "P1, No. 1",
  "volume_a3_per_cell": 125.8,
  "n_ef_per_ev_atom": 0.52,
  "e_form_kcal_per_mol_atoms": 7.56,
  "e_above_lowest_polymorph_ev_per_atom": 0.118
}